VASP calculation (GGA-PBE) on a relaxed Ni2AgRuC crystal.

```
Ni2AgRuC
1.0
-1.2252 1.1909 -3.4975
-0.8851 -3.6721 -0.9403
-3.6815 0.5125 1.4641
Ni Ag Ru C
2 1 1 1
Direct
0.5000 0.0000 0.0000
0.0000 0.5000 0.0000
0.5000 0.5000 0.5000
0.0000 0.0000 0.5000
0.0000 0.0000 0.0000
```

Values from the calculation:
Space group ... P4/mmm
DFT formation energy ... 0.258 eV/atom
Total magnetization ... 0.00 μB/atom


VASP calculation (GGA-PBE) on a relaxed TbScNi crystal.

```
TbScNi
1.0
3.4797 0.0012 0.0004
-0.0018 6.4522 0.0204
-1.7361 -3.2063 5.9019
Tb Sc Ni
2 2 2
Direct
0.1218 0.0464 0.3621
0.6886 0.6126 0.4962
0.4045 0.0859 0.9277
0.4060 0.5725 0.9306
0.7960 0.2214 0.7101
0.0149 0.4369 0.1481
```

Values from the calculation:
Space group ... C2/m
DFT formation energy ... -0.290 eV/atom
Relative energy among the computed polymorphs ... 0 meV per atom
Total magnetization ... 0.00 μB/atom


VASP calculation (GGA-PBE) on a relaxed TbYZnSn crystal.

```
TbYZnSn
1.0
-4.8692 -1.2904 1.2815
-0.9179 -4.3814 2.6415
-1.5289 0.2291 4.9626
Tb Sn Zn Y
1 1 1 1
Direct
0.7500 0.7500 0.7500
0.5000 0.5000 0.5000
0.0000 0.0000 0.0000
0.2500 0.2500 0.2500
```

Values from the calculation:
Space group ... F-43m
DFT formation energy ... -0.518 eV/atom
Total magnetization ... 0.00 μB/atom


> total magnetization of number 3 (TbYZnSn)?

0.00 μB/atom


> The highest DFT formation energy belongs to which entry?

Ni2AgRuC